8
Lattice="5.570 0.000 0.000 0.000 5.570 0.000 2.785 2.785 3.766" Properties=species:S:1:pos:R:3 comment="KTaH2, optimized geometry, DFT GGA-PBE" final_energy_ev_per_atom=-4.45 relative_energy_mev_per_atom=0 pbc="T T T"
H 4.177 3.642 2.824
H 0.857 4.177 0.941
H 6.962 7.498 2.824
H 4.713 1.392 0.941
Ta 5.570 2.785 1.883
Ta 0.000 0.000 0.000
K 2.785 5.570 1.883
K 2.785 2.785 0.000



8
Lattice="-2.271 -5.652 -0.272 5.603 -2.205 -0.961 2.227 -4.358 3.641" Properties=species:S:1:pos:R:3 comment="KTa2H, optimized geometry, DFT GGA-PBE" final_energy_ev_per_atom=-6.10 relative_energy_mev_per_atom=0 pbc="T T T"
H 4.748 -5.246 1.032
H 1.666 -3.928 -0.616
Ta 3.207 -4.587 0.208
Ta 0.405 -3.485 0.688
Ta 3.185 -9.593 1.892
Ta 4.320 -6.766 2.029
K 0.000 0.000 0.000
K 0.811 -6.969 1.377



4
Lattice="1.169 -3.979 -2.130 -3.229 -3.279 -0.749 -1.497 -0.851 -4.333" Properties=species:S:1:pos:R:3 comment="KTa2H, optimized geometry, DFT GGA-PBE" final_energy_ev_per_atom=-4.54 relative_energy_mev_per_atom=1559 pbc="T T T"
H 0.000 0.000 0.000
Ta -2.667 -6.082 -5.409
Ta -0.889 -2.027 -1.803
K -1.778 -4.055 -3.606



4
Lattice="0.000 3.140 3.140 3.140 0.000 3.140 3.140 3.140 0.000" Properties=species:S:1:pos:R:3 comment="KTaH2, optimized geometry, DFT GGA-PBE" final_energy_ev_per_atom=-3.41 relative_energy_mev_per_atom=1033 pbc="T T T"
H 4.709 4.709 4.709
H 1.570 1.570 1.570
K 0.000 0.000 0.000
Ta 3.140 3.140 3.140



5
Lattice="-2.489 2.859 -2.109 -3.392 -3.450 -0.674 -1.884 1.121 3.743" Properties=species:S:1:pos:R:3 comment="KTaTiH2, optimized geometry, DFT GGA-PBE" final_energy_ev_per_atom=-4.31 pbc="T T T"
H -1.245 1.430 -1.054
H -0.942 0.561 1.872
K -3.882 0.265 0.480
Ta -1.696 -1.725 -0.337
Ti 0.000 0.000 0.000



5
Lattice="4.401 0.000 0.000 0.000 4.292 0.000 0.000 0.000 4.401" Properties=species:S:1:pos:R:3 comment="KTaZn2H, optimized geometry, DFT GGA-PBE" final_energy_ev_per_atom=-2.72 pbc="T T T"
Ta 2.201 2.146 2.201
K 0.000 2.146 0.000
H 0.000 0.000 0.000
Zn 2.201 0.000 0.000
Zn 0.000 0.000 2.201



4
Lattice="-2.811 0.695 -2.197 -1.625 -2.717 -1.787 -7.931 -1.976 6.515" Properties=species:S:1:pos:R:3 comment="KTb2H, optimized geometry, DFT GGA-PBE" final_energy_ev_per_atom=-3.38 pbc="T T T"
H -6.184 -1.999 1.265
Tb -6.828 -2.504 -1.077
Tb -5.539 -1.493 3.607
K 0.000 0.000 0.000



12
Lattice="5.073 0.130 -0.576 -1.107 5.214 -2.764 0.023 -0.072 6.004" Properties=species:S:1:pos:R:3 comment="KTcH4, optimized geometry, DFT GGA-PBE" final_energy_ev_per_atom=-4.17 pbc="T T T"
H 1.343 4.410 1.863
H -0.007 1.340 0.187
H -0.947 4.994 -1.457
H 2.646 0.862 0.800
H 2.447 1.049 4.907
H 1.542 4.222 -2.243
H 4.936 0.277 4.120
H 3.996 3.931 2.477
Tc 2.699 5.305 -3.185
Tc 1.290 -0.033 5.849
K 3.085 3.501 -0.194
K 0.904 1.770 2.857